(1)
ScTeAs2O: optimized geometry, PBE.

Computed properties:
- Formation energy (no corrections): -0.51 eV per atom
- Space-group type: P4/mmm, No. 123

a = 4.969 Å, b = 4.044 Å, c = 4.969 Å
α = 90.00°, β = 90.00°, γ = 90.00°
Sites, in units of the cell vectors:
As (0.000, 0.000, 0.500)
Sc (0.000, 0.500, 0.000)
As (0.500, 0.000, 0.000)
O (0.000, 0.000, 0.000)
Te (0.500, 0.500, 0.500)

---

(2)
Rb6Au3Br: optimized geometry, PBE.

Computed properties:
- Formation energy (no corrections): -0.48 eV per atom
- Space-group type: P2_1/c, No. 14

a = 8.628 Å, b = 9.216 Å, c = 12.490 Å
α = 90.00°, β = 85.05°, γ = 90.00°
Sites, in units of the cell vectors:
Rb (0.326, 0.816, 0.407)
Br (0.500, 0.500, 0.500)
Au (0.500, 0.500, 0.000)
Rb (0.174, 0.316, 0.093)
Rb (0.839, 0.939, 0.254)
Au (0.962, 0.394, 0.724)
Rb (0.826, 0.684, 0.907)
Au (0.000, 0.000, 0.500)
Au (0.538, 0.894, 0.776)
Rb (0.339, 0.561, 0.754)
Br (0.000, 0.000, 0.000)
Rb (0.661, 0.439, 0.246)
Rb (0.674, 0.175, 0.937)
Rb (0.674, 0.184, 0.593)
Au (0.462, 0.106, 0.224)
Rb (0.826, 0.675, 0.563)
Rb (0.161, 0.061, 0.746)
Au (0.038, 0.606, 0.276)
Rb (0.174, 0.325, 0.437)
Rb (0.326, 0.825, 0.063)

---

Question: formation energy (no corrections) of number 1 (ScTeAs2O)?
Answer: -0.51 eV per atom

---

Question: Which of these has the lowest formation energy (no corrections)?
Answer: ScTeAs2O